Entry 1:
The following is a DFT calculation (meta-GGA SCAN) of Ho4Si3Ge at its PBEsol-relaxed geometry.

- V: 20.82 Å³ per atom
- Uncorrected energy: -31.51 eV/atom
- DOS(E_F): 3.74 states/eV per cell

CIF file:
```
data_Ho4Si3Ge
_cell_length_a 3.798
_cell_length_b 4.209
_cell_length_c 10.420
_cell_angle_alpha 90.00
_cell_angle_beta 90.00
_cell_angle_gamma 90.00
_space_group_name_H-M_alt 'P m m 2'
_space_group_IT_number 25
loop_
_space_group_symop_operation_xyz
'x,y,z'
'-x,-y,z'
'-x,y,z'
'x,-y,z'
loop_
_atom_site_label
_atom_site_type_symbol
_atom_site_fract_x
_atom_site_fract_y
_atom_site_fract_z
Ho1 Ho 0.000 0.000 0.000
Ho2 Ho 0.000 0.500 0.497
Ho3 Ho 0.500 0.000 0.717
Ho4 Ho 0.500 0.500 0.219
Si1 Si 0.000 0.000 0.282
Si2 Si 0.500 0.000 0.436
Si3 Si 0.500 0.500 0.940
Ge1 Ge 0.000 0.500 0.778
```



Entry 2:
The following is a DFT calculation (meta-GGA SCAN) of Ho2SiGe at its PBEsol-relaxed geometry.

- V: 21.03 Å³ per atom
- Uncorrected energy: -32.66 eV/atom
- DOS(E_F): 3.66 states/eV per cell

CIF file:
```
data_Ho2SiGe
_cell_length_a 3.824
_cell_length_b 4.208
_cell_length_c 10.454
_cell_angle_alpha 90.00
_cell_angle_beta 90.00
_cell_angle_gamma 90.00
_space_group_name_H-M_alt 'A m m 2'
_space_group_IT_number 38
loop_
_space_group_symop_operation_xyz
'x,y,z'
'-x,-y,z'
'-x,y,z'
'x,-y,z'
'x,y+1/2,z+1/2'
'-x,-y+1/2,z+1/2'
'-x,y+1/2,z+1/2'
'x,-y+1/2,z+1/2'
loop_
_atom_site_label
_atom_site_type_symbol
_atom_site_fract_x
_atom_site_fract_y
_atom_site_fract_z
Ho1 Ho 0.000 0.000 0.000
Ho2 Ho 0.500 0.000 0.280
Si1 Si 0.500 0.000 0.558
Ge1 Ge 0.000 0.000 0.720
```



Entry 3:
The following is a DFT calculation (meta-GGA SCAN) of In3GeI at its PBEsol-relaxed geometry.

- V: 44.05 Å³ per atom
- Uncorrected energy: -30.27 eV/atom
- DOS(E_F): 3.38 states/eV per cell

CIF file:
```
data_In3GeI
_cell_length_a 6.039
_cell_length_b 6.039
_cell_length_c 6.039
_cell_angle_alpha 90.00
_cell_angle_beta 90.00
_cell_angle_gamma 90.00
_space_group_name_H-M_alt 'P m -3 m'
_space_group_IT_number 221
_space_group_name_Hall '-P 4 2 3'
loop_
_atom_site_label
_atom_site_type_symbol
_atom_site_fract_x
_atom_site_fract_y
_atom_site_fract_z
In1 In 0.000 0.000 0.500
Ge1 Ge 0.500 0.500 0.500
I1 I 0.000 0.000 0.000
```



Entry 4:
The following is a DFT calculation (meta-GGA SCAN) of InGeI2 at its PBEsol-relaxed geometry.

- V: 28.67 Å³ per atom
- Uncorrected energy: -31.31 eV/atom
- DOS(E_F): 5.83 states/eV per cell

CIF file:
```
data_InGeI2
_cell_length_a 7.712
_cell_length_b 7.712
_cell_length_c 7.712
_cell_angle_alpha 90.00
_cell_angle_beta 90.00
_cell_angle_gamma 90.00
_space_group_name_H-M_alt 'F m -3 m'
_space_group_IT_number 225
_space_group_name_Hall '-F 4 2 3'
loop_
_atom_site_label
_atom_site_type_symbol
_atom_site_fract_x
_atom_site_fract_y
_atom_site_fract_z
In1 In 0.000 0.000 0.000
Ge1 Ge 0.000 0.000 0.500
I1 I 0.250 0.250 0.250
```



What did the second record say?
The following is a DFT calculation (meta-GGA SCAN) of Ho2SiGe at its PBEsol-relaxed geometry.

- V: 21.03 Å³ per atom
- Uncorrected energy: -32.66 eV/atom
- DOS(E_F): 3.66 states/eV per cell

CIF file:
```
data_Ho2SiGe
_cell_length_a 3.824
_cell_length_b 4.208
_cell_length_c 10.454
_cell_angle_alpha 90.00
_cell_angle_beta 90.00
_cell_angle_gamma 90.00
_space_group_name_H-M_alt 'A m m 2'
_space_group_IT_number 38
loop_
_space_group_symop_operation_xyz
'x,y,z'
'-x,-y,z'
'-x,y,z'
'x,-y,z'
'x,y+1/2,z+1/2'
'-x,-y+1/2,z+1/2'
'-x,y+1/2,z+1/2'
'x,-y+1/2,z+1/2'
loop_
_atom_site_label
_atom_site_type_symbol
_atom_site_fract_x
_atom_site_fract_y
_atom_site_fract_z
Ho1 Ho 0.000 0.000 0.000
Ho2 Ho 0.500 0.000 0.280
Si1 Si 0.500 0.000 0.558
Ge1 Ge 0.000 0.000 0.720
```



Which value of uncorrected energy does entry 1 give?
-31.51 eV/atom